1.
Compound: BaY2ZrSi
Source: Alexandria via LeMat-Bulk
Functional: PBE-GGA
Structure: optimized geometry

a = 5.5838 Å, b = 5.5838 Å, c = 5.2606 Å
α = 90.00°, β = 90.00°, γ = 90.00°
Fractional positions:
Ba: 0.0000 0.0000 0.0000
Y: 0.0000 0.5000 0.5000
Y: 0.5000 0.0000 0.5000
Zr: 0.5000 0.5000 0.0000
Si: 0.5000 0.5000 0.5000

Output
**Raw formation energy**: 0.38 eV/f.u.


2.
Compound: Ba2Zn2Si
Source: Alexandria via LeMat-Bulk
Functional: PBE-GGA
Structure: optimized geometry

a = 3.8425 Å, b = 3.8425 Å, c = 20.7661 Å
α = 90.00°, β = 90.00°, γ = 90.00°
Fractional positions:
Ba: 0.0000 0.0000 0.0973
Ba: 0.0000 0.0000 0.9027
Ba: 0.5000 0.5000 0.4027
Ba: 0.5000 0.5000 0.5973
Zn: 0.0000 0.5000 0.2500
Zn: 0.0000 0.5000 0.7500
Zn: 0.5000 0.0000 0.2500
Zn: 0.5000 0.0000 0.7500
Si: 0.0000 0.0000 0.5000
Si: 0.5000 0.5000 0.0000

Output
**Raw formation energy**: -0.32 eV/f.u.
**Polymorph energy (0 for the lowest one)**: 204 meV/atom


3.
Compound: BaZnSi
Source: Alexandria via LeMat-Bulk
Functional: PBE-GGA
Structure: optimized geometry

a = 4.3746 Å, b = 4.3746 Å, c = 19.7579 Å
α = 90.00°, β = 90.00°, γ = 120.00°
Fractional positions:
Ba: 0.0000 0.0000 0.0000
Ba: 0.0000 0.0000 0.2500
Ba: 0.0000 0.0000 0.5000
Ba: 0.0000 0.0000 0.7500
Zn: 0.3333 0.6667 0.1246
Zn: 0.3333 0.6667 0.3754
Zn: 0.6667 0.3333 0.6246
Zn: 0.6667 0.3333 0.8754
Si: 0.3333 0.6667 0.6251
Si: 0.3333 0.6667 0.8749
Si: 0.6667 0.3333 0.1251
Si: 0.6667 0.3333 0.3749

Output
**Raw formation energy**: -1.11 eV/f.u.


Number 1: calculated density 4398 kg/m³. Number 2: calculated density 4696 kg/m³. Number 3: calculated density 4682 kg/m³.